# 1
A plane-wave DFT calculation with PBE was carried out for an optimized crystal structure of BeV4N.

Cell lengths 5.070, 5.152, 5.275 Å; angles 90.00, 94.42, 90.00 degrees
Element x y z (fractional)
Be: 0.000 0.000 0.000
Be: 0.000 0.500 0.500
V: 0.153 0.126 0.388
V: 0.153 0.374 0.888
V: 0.381 0.662 0.325
V: 0.381 0.838 0.825
V: 0.619 0.162 0.175
V: 0.619 0.338 0.675
V: 0.847 0.626 0.112
V: 0.847 0.874 0.612
N: 0.500 0.000 0.500
N: 0.500 0.500 0.000


# 2
A plane-wave DFT calculation with PBE was carried out for an optimized crystal structure of Zr2BeVN.

Cell lengths 4.492, 4.492, 3.790 Å; angles 90.00, 90.00, 90.00 degrees
Element x y z (fractional)
Zr: 0.000 0.500 0.000
Zr: 0.500 0.000 0.000
Be: 0.000 0.000 0.500
V: 0.500 0.500 0.500
N: 0.500 0.500 0.000


# 3
A plane-wave DFT calculation with PBE was carried out for an optimized crystal structure of BeW2N.

Energy relative to the lowest polymorph listed for this composition = 40 meV per atom

Cell lengths 6.278, 6.278, 6.278 Å; angles 136.67, 136.67, 62.95 degrees
Element x y z (fractional)
Be: 0.000 0.000 0.000
Be: 0.750 0.250 0.500
W: 0.183 0.625 0.058
W: 0.375 0.433 0.558
W: 0.567 0.125 0.942
W: 0.875 0.817 0.442
N: 0.250 0.750 0.500
N: 0.500 0.500 0.000


# 4
A plane-wave DFT calculation with PBE was carried out for an optimized crystal structure of BeWN3.

Cell lengths 3.406, 3.406, 3.406 Å; angles 90.00, 90.00, 90.00 degrees
Element x y z (fractional)
Be: 0.000 0.000 0.000
W: 0.500 0.500 0.500
N: 0.000 0.000 0.500
N: 0.000 0.500 0.000
N: 0.500 0.000 0.000


# 5
A plane-wave DFT calculation with PBE was carried out for an optimized crystal structure of Be3WN.

Energy relative to the lowest polymorph listed for this composition = 0 meV per atom

Cell lengths 3.614, 3.614, 3.614 Å; angles 90.00, 90.00, 90.00 degrees
Element x y z (fractional)
Be: 0.000 0.000 0.500
Be: 0.000 0.500 0.000
Be: 0.500 0.000 0.000
W: 0.500 0.500 0.500
N: 0.000 0.000 0.000


# 6
A plane-wave DFT calculation with PBE was carried out for an optimized crystal structure of BeW2N.

Energy relative to the lowest polymorph listed for this composition = 0 meV per atom

Cell lengths 3.990, 3.990, 3.990 Å; angles 60.00, 60.00, 60.00 degrees
Element x y z (fractional)
Be: 0.000 0.000 0.000
W: 0.250 0.250 0.250
W: 0.750 0.750 0.750
N: 0.500 0.500 0.500


# 7
A plane-wave DFT calculation with PBE was carried out for an optimized crystal structure of Be2WN.

Cell lengths 4.655, 4.655, 4.655 Å; angles 103.38, 103.38, 122.50 degrees
Element x y z (fractional)
Be: 0.024 0.625 0.899
Be: 0.375 0.274 0.399
Be: 0.726 0.125 0.101
Be: 0.875 0.976 0.601
W: 0.250 0.750 0.500
W: 0.500 0.500 0.000
N: 0.000 0.000 0.000
N: 0.750 0.250 0.500


# 8
A plane-wave DFT calculation with PBE was carried out for an optimized crystal structure of BeWN3.

Cell lengths 3.918, 3.918, 3.918 Å; angles 90.00, 90.00, 90.00 degrees
Element x y z (fractional)
Be: 0.000 0.000 0.000
W: 0.500 0.500 0.500
N: 0.000 0.500 0.500
N: 0.500 0.000 0.500
N: 0.500 0.500 0.000


# 9
A plane-wave DFT calculation with PBE was carried out for an optimized crystal structure of Be3WN.

Energy relative to the lowest polymorph listed for this composition = 2197 meV per atom

Cell lengths 4.384, 4.384, 4.384 Å; angles 90.00, 90.00, 90.00 degrees
Element x y z (fractional)
Be: 0.000 0.000 0.500
Be: 0.000 0.500 0.000
Be: 0.500 0.000 0.000
W: 0.000 0.000 0.000
N: 0.500 0.500 0.500


# 10
A plane-wave DFT calculation with PBE was carried out for an optimized crystal structure of Y2BeN.

Energy relative to the lowest polymorph listed for this composition = 670 meV per atom

Cell lengths 4.585, 4.585, 4.585 Å; angles 60.00, 60.00, 60.00 degrees
Element x y z (fractional)
Y: 0.250 0.250 0.250
Y: 0.750 0.750 0.750
Be: 0.000 0.000 0.000
N: 0.500 0.500 0.500


# 11
A plane-wave DFT calculation with PBE was carried out for an optimized crystal structure of YBeN3.

Cell lengths 4.422, 4.422, 4.422 Å; angles 90.00, 90.00, 90.00 degrees
Element x y z (fractional)
Y: 0.000 0.000 0.000
Be: 0.500 0.500 0.500
N: 0.000 0.000 0.500
N: 0.000 0.500 0.000
N: 0.500 0.000 0.000


# 12
A plane-wave DFT calculation with PBE was carried out for an optimized crystal structure of YBe3N.

Energy relative to the lowest polymorph listed for this composition = 0 meV per atom

Cell lengths 3.932, 3.932, 3.932 Å; angles 90.00, 90.00, 90.00 degrees
Element x y z (fractional)
Y: 0.000 0.000 0.000
Be: 0.000 0.500 0.500
Be: 0.500 0.000 0.500
Be: 0.500 0.500 0.000
N: 0.500 0.500 0.500


# 13
A plane-wave DFT calculation with PBE was carried out for an optimized crystal structure of YBeN3.

Cell lengths 3.603, 3.603, 3.603 Å; angles 90.00, 90.00, 90.00 degrees
Element x y z (fractional)
Y: 0.000 0.000 0.000
Be: 0.500 0.500 0.500
N: 0.000 0.500 0.500
N: 0.500 0.000 0.500
N: 0.500 0.500 0.000


# 14
A plane-wave DFT calculation with PBE was carried out for an optimized crystal structure of YBe3N.

Energy relative to the lowest polymorph listed for this composition = 2629 meV per atom

Cell lengths 5.108, 5.108, 5.108 Å; angles 90.00, 90.00, 90.00 degrees
Element x y z (fractional)
Y: 0.000 0.000 0.000
Be: 0.000 0.000 0.500
Be: 0.000 0.500 0.000
Be: 0.500 0.000 0.000
N: 0.500 0.500 0.500


# 15
A plane-wave DFT calculation with PBE was carried out for an optimized crystal structure of Y2BeN.

Energy relative to the lowest polymorph listed for this composition = 270 meV per atom

Cell lengths 8.648, 8.648, 8.648 Å; angles 22.99, 22.99, 22.99 degrees
Element x y z (fractional)
Y: 0.115 0.115 0.115
Y: 0.885 0.885 0.885
Be: 0.000 0.000 0.000
N: 0.500 0.500 0.500


# 16
A plane-wave DFT calculation with PBE was carried out for an optimized crystal structure of YBe2N.

Cell lengths 5.455, 5.455, 5.455 Å; angles 120.00, 120.00, 90.00 degrees
Element x y z (fractional)
Y: 0.000 0.000 0.000
Y: 0.750 0.250 0.500
Be: 0.373 0.625 0.248
Be: 0.375 0.623 0.748
Be: 0.377 0.125 0.752
Be: 0.875 0.627 0.252
N: 0.250 0.750 0.500
N: 0.500 0.500 0.000


# 17
A plane-wave DFT calculation with PBE was carried out for an optimized crystal structure of Y2BeN.

Energy relative to the lowest polymorph listed for this composition = 0 meV per atom

Cell lengths 6.040, 6.040, 6.040 Å; angles 114.19, 114.19, 100.39 degrees
Element x y z (fractional)
Y: 0.059 0.625 0.934
Y: 0.375 0.309 0.434
Y: 0.691 0.125 0.066
Y: 0.875 0.941 0.566
Be: 0.250 0.750 0.500
Be: 0.500 0.500 0.000
N: 0.000 0.000 0.000
N: 0.750 0.250 0.500


# 18
A plane-wave DFT calculation with PBE was carried out for an optimized crystal structure of Y2BeZnN.

Cell lengths 4.997, 4.997, 3.405 Å; angles 90.00, 90.00, 90.00 degrees
Element x y z (fractional)
Y: 0.000 0.500 0.000
Y: 0.500 0.000 0.000
Be: 0.000 0.000 0.500
Zn: 0.500 0.500 0.500
N: 0.000 0.000 0.000


# 19
A plane-wave DFT calculation with PBE was carried out for an optimized crystal structure of BeZn2N.

Energy relative to the lowest polymorph listed for this composition = 0 meV per atom

Cell lengths 5.501, 5.501, 5.501 Å; angles 120.53, 120.53, 89.09 degrees
Element x y z (fractional)
Be: 0.000 0.000 0.000
Be: 0.750 0.250 0.500
Zn: 0.197 0.625 0.072
Zn: 0.375 0.447 0.572
Zn: 0.553 0.125 0.928
Zn: 0.875 0.803 0.428
N: 0.250 0.750 0.500
N: 0.500 0.500 0.000


# 20
A plane-wave DFT calculation with PBE was carried out for an optimized crystal structure of BeZn2N.

Energy relative to the lowest polymorph listed for this composition = 402 meV per atom

Cell lengths 4.042, 4.042, 4.042 Å; angles 60.00, 60.00, 60.00 degrees
Element x y z (fractional)
Be: 0.000 0.000 0.000
Zn: 0.250 0.250 0.250
Zn: 0.750 0.750 0.750
N: 0.500 0.500 0.500


In kg/m³, the ρ values for the records above are, in order, 5482; 5569; 11278; 9872; 7910; 14441; 9614; 6482; 4433; 4893; 2688; 3550; 4968; 1619; 3851; 3500; 4006; 5200; 4377; 5469.
In meV/atom, the energy relative to the elements, uncorrected values for the records above are, in order, -321; -615; 834; 1079; 488; 794; 140; 907; 2684; 256; 1819; 450; 87; 3079; -145; -13; -414; -666; 636; 1037.